A relaxed LiYHf2Cr crystal. Source: Alexandria via LeMat-Bulk, functional PBE. Values from VASP.

Space-group type: P4/mmm, No. 123

The structure in Quantum ESPRESSO input format:
```
&SYSTEM
  ibrav = 0, nat = 5, ntyp = 4
/
ATOMIC_SPECIES
Y 88.91 Y.upf
Cr 52.00 Cr.upf
Hf 178.49 Hf.upf
Li 6.94 Li.upf
ATOMIC_POSITIONS angstrom
Y 2.360 2.589 2.360
Cr 0.000 0.000 0.000
Hf 0.000 0.000 2.360
Hf 2.360 0.000 0.000
Li 0.000 2.589 0.000
CELL_PARAMETERS angstrom
4.719 0.000 0.000
0.000 5.179 0.000
0.000 0.000 4.719
```

A relaxed LiHfZrCr crystal. Source: Alexandria via LeMat-Bulk, functional PBE. Values from VASP.

Space-group type: F-43m, No. 216

The structure in Quantum ESPRESSO input format:
```
&SYSTEM
  ibrav = 0, nat = 4, ntyp = 4
/
ATOMIC_SPECIES
Cr 52.00 Cr.upf
Hf 178.49 Hf.upf
Zr 91.22 Zr.upf
Li 6.94 Li.upf
ATOMIC_POSITIONS angstrom
Cr 6.938 4.006 2.832
Hf 4.625 2.670 1.888
Zr 0.000 0.000 0.000
Li 2.313 1.335 0.944
CELL_PARAMETERS angstrom
4.625 0.000 0.000
2.313 4.006 0.000
2.313 1.335 3.776
```

A relaxed LuHfCr4 crystal. Source: Alexandria via LeMat-Bulk, functional PBE. Values from VASP.

Space-group type: F-43m, No. 216

The structure in Quantum ESPRESSO input format:
```
&SYSTEM
  ibrav = 0, nat = 6, ntyp = 3
/
ATOMIC_SPECIES
Cr 52.00 Cr.upf
Lu 174.97 Lu.upf
Hf 178.49 Hf.upf
ATOMIC_POSITIONS angstrom
Cr -0.471 -5.591 1.762
Cr -2.045 -4.384 3.345
Cr -0.941 -6.553 4.063
Cr 0.446 -4.441 3.830
Lu 0.000 0.000 0.000
Hf -0.376 -2.621 1.625
CELL_PARAMETERS angstrom
-2.773 -4.223 0.466
2.206 -4.338 1.435
-0.939 -1.924 4.600
```

A relaxed LuHfCrTc crystal. Source: Alexandria via LeMat-Bulk, functional PBE. Values from VASP.

Space-group type: F-43m, No. 216

The structure in Quantum ESPRESSO input format:
```
&SYSTEM
  ibrav = 0, nat = 4, ntyp = 4
/
ATOMIC_SPECIES
Cr 52.00 Cr.upf
Lu 174.97 Lu.upf
Hf 178.49 Hf.upf
Tc 98.00 Tc.upf
ATOMIC_POSITIONS angstrom
Cr 7.086 4.091 2.893
Lu 4.724 2.728 1.929
Hf 0.000 0.000 0.000
Tc 2.362 1.364 0.964
CELL_PARAMETERS angstrom
4.724 0.000 0.000
2.362 4.091 0.000
2.362 1.364 3.857
```

A relaxed HfMg14Cr crystal. Source: Alexandria via LeMat-Bulk, functional PBE. Values from VASP.

Space-group type: P-6m2, No. 187
Polymorph energy (0 for the lowest one) (eV/f.u.): 0.15

The structure in Quantum ESPRESSO input format:
```
&SYSTEM
  ibrav = 0, nat = 16, ntyp = 3
/
ATOMIC_SPECIES
Hf 178.49 Hf.upf
Mg 24.30 Mg.upf
Cr 52.00 Cr.upf
ATOMIC_POSITIONS angstrom
Hf 0.198 4.121 2.926
Mg -1.636 3.094 -4.247
Mg -2.852 3.695 3.732
Mg 0.689 1.777 -2.549
Mg -5.132 4.987 2.067
Mg -2.331 1.328 -1.713
Mg -2.170 5.427 1.247
Mg -4.765 1.867 2.039
Mg -4.565 6.013 4.982
Mg -1.642 2.331 1.174
Mg -1.442 6.477 4.117
Mg -4.046 3.693 -0.582
Mg -3.846 7.839 2.362
Mg -0.990 4.196 -1.324
Mg -0.798 8.178 1.503
Cr 0.000 0.000 0.000
CELL_PARAMETERS angstrom
1.398 3.550 -5.096
-6.073 -0.902 1.682
0.397 8.242 5.851
```

A relaxed HfMg6Cr crystal. Source: Alexandria via LeMat-Bulk, functional PBE. Values from VASP.

Space-group type: Amm2, No. 38
Polymorph energy (0 for the lowest one) (eV/f.u.): 0.00

The structure in Quantum ESPRESSO input format:
```
&SYSTEM
  ibrav = 0, nat = 8, ntyp = 3
/
ATOMIC_SPECIES
Hf 178.49 Hf.upf
Mg 24.30 Mg.upf
Cr 52.00 Cr.upf
ATOMIC_POSITIONS angstrom
Hf -3.958 2.038 -0.312
Mg -2.348 2.953 -2.819
Mg -1.264 0.692 -1.116
Mg 0.388 3.399 -1.271
Mg -2.251 4.864 -0.484
Mg -1.110 2.485 1.307
Mg 0.556 5.281 1.121
Cr -3.883 0.330 -2.627
CELL_PARAMETERS angstrom
3.253 5.458 -0.361
-5.479 -0.816 -3.134
-2.484 1.738 3.890
```

A relaxed Hf2MgCr2 crystal. Source: Alexandria via LeMat-Bulk, functional PBE. Values from VASP.

Space-group type: P4/mbm, No. 127

The structure in Quantum ESPRESSO input format:
```
&SYSTEM
  ibrav = 0, nat = 10, ntyp = 3
/
ATOMIC_SPECIES
Cr 52.00 Cr.upf
Mg 24.30 Mg.upf
Hf 178.49 Hf.upf
ATOMIC_POSITIONS angstrom
Cr 3.032 -6.180 2.404
Cr 1.262 -7.786 -1.199
Cr -0.319 -3.879 -2.163
Cr 1.451 -2.273 1.440
Mg 0.000 0.000 0.000
Mg 1.357 -5.029 0.121
Hf 1.079 -4.423 3.191
Hf 0.935 -7.809 1.524
Hf -1.133 -6.343 -1.276
Hf -0.989 -2.956 0.391
CELL_PARAMETERS angstrom
-1.161 -5.816 -4.373
3.874 -4.243 4.614
-2.767 -0.706 1.674
```

A relaxed HfMgCr2 crystal. Source: Alexandria via LeMat-Bulk, functional PBE. Values from VASP.

Space-group type: I-42d, No. 122

The structure in Quantum ESPRESSO input format:
```
&SYSTEM
  ibrav = 0, nat = 8, ntyp = 3
/
ATOMIC_SPECIES
Cr 52.00 Cr.upf
Mg 24.30 Mg.upf
Hf 178.49 Hf.upf
ATOMIC_POSITIONS angstrom
Cr 5.377 1.799 0.730
Cr 1.818 5.396 0.730
Cr 5.396 5.415 2.189
Cr 8.993 8.974 2.189
Mg 3.597 3.597 0.000
Mg 3.597 7.195 1.460
Hf 0.000 0.000 0.000
Hf 7.195 3.597 1.460
CELL_PARAMETERS angstrom
7.195 0.000 0.000
0.000 7.195 0.000
3.597 3.597 2.919
```

Number 1: E_form 0.4864 eV per atom. Number 2: E_form 0.1839 eV per atom. Number 3: E_form 0.0826 eV per atom. Number 4: E_form -0.0389 eV per atom. Number 5: E_form 0.1053 eV per atom. Number 6: E_form 0.1915 eV per atom. Number 7: E_form 0.2143 eV per atom. Number 8: E_form 0.8944 eV per atom.